Below is an optimized crystal structure of NaMnCu2Br6, with properties calculated at the PBE-GGA level.

Computed properties:
- Density: 4.3 g cm⁻³
- Magnetic moment: 0.40 μB per atom
- Energy relative to the elements, uncorrected: -0.682 eV per atom
- SG: C2/c (15)

Cell and atoms, written as POSCAR:
```
NaMnCu2Br6
1.0
6.894 -0.438 -0.454
1.639 8.691 0.108
1.639 -0.214 8.689
Br Na Cu Mn
12 2 4 2
Cartesian
1.868 5.347 1.320 Br
7.322 6.206 8.304 Br
2.850 1.834 0.040 Br
5.315 0.902 5.165 Br
8.093 5.772 4.418 Br
3.875 8.287 6.737 Br
5.525 3.620 2.185 Br
6.296 -0.247 1.607 Br
4.646 4.420 6.159 Br
4.856 7.138 3.179 Br
8.303 2.693 7.023 Br
2.079 2.268 3.926 Br
6.809 0.220 7.614 Na
3.362 7.820 0.729 Na
6.542 1.658 3.207 Cu
3.095 3.362 2.002 Cu
3.630 6.382 5.137 Cu
7.077 4.678 6.341 Cu
3.362 2.038 6.300 Mn
6.809 6.002 2.043 Mn
```